Crystalline InGaAsP at its relaxed geometry. Source: the Alexandria database, functional PBE.

Calculated values
Electronic total energy ... -4.20 eV per atom
ΔH_f (0 K) ... -0.240 eV per atom

Geometry as CIF:
```
data_InGaAsP
_cell_length_a 7.148
_cell_length_b 4.127
_cell_length_c 7.208
_cell_angle_alpha 90.00
_cell_angle_beta 109.30
_cell_angle_gamma 90.00
_symmetry_space_group_name_H-M 'C 1 m 1'
_symmetry_Int_Tables_number 8
loop_
_symmetry_equiv_pos_as_xyz
'x,y,z'
'x,-y,z'
'x+1/2,y+1/2,z'
'x+1/2,-y+1/2,z'
loop_
_atom_site_label
_atom_site_fract_x
_atom_site_fract_y
_atom_site_fract_z
In1 0.000 0.000 0.000
Ga1 0.494 0.000 0.483
As1 0.116 0.500 0.848
P1 0.125 0.000 0.379
```